First-principles (GGA-PBE) data for a geometry-optimized Tc2IrAu structure, as listed in the Alexandria database.

a b c (Å): 2.759 3.929 5.649
angles (deg): 90.00 90.00 90.00
Space group Pmm2 (No. 25)
Symmetry-distinct sites (fractional):
Tc  0.000  0.000  0.000 [1 per cell]
Tc  0.500  0.500  0.227 [1 per cell]
Ir  0.500  0.500  0.767 [1 per cell]
Au  0.000  0.000  0.496 [1 per cell]

## Properties
Energy of formation from the pure elements = 0.163 eV/atom
Excess energy over the best structure of this formula in the dataset = 59 meV per atom
Size of the total moment = 0.00 μB/cell
Density = 15869 kg/m³